(1)
Below is Tb5Tl8Ag after structural relaxation, with properties calculated at the PBE level.

abc: 7.986 7.986 7.986
angles: 108.77 108.77 110.89
Fractional coordinates of all 14 atoms:
Tb  0.000  0.000  0.000
Tb  0.093  0.242  0.624
Tb  0.530  0.907  0.148
Tb  0.618  0.470  0.376
Tb  0.758  0.382  0.852
Tl  0.068  0.653  0.752
Tl  0.231  0.483  0.108
Tl  0.347  0.098  0.415
Tl  0.375  0.123  0.892
Tl  0.517  0.625  0.748
Tl  0.684  0.932  0.585
Tl  0.877  0.769  0.252
Tl  0.902  0.316  0.248
Ag  0.250  0.750  0.500

Energy relative to the elements ... -0.17 eV per atom
Space group ... No. 82
Total magnetic moment ... 0.00 μB per cell
Total DFT energy (no corrections) ... -3.3825 eV/atom


(2)
Below is H2OsPb after structural relaxation, with properties calculated at the PBE level.

abc: 5.745 5.745 5.745
angles: 90.00 90.00 90.00
Fractional coordinates of all 16 atoms:
H  0.250  0.250  0.250
H  0.250  0.250  0.750
H  0.250  0.750  0.250
H  0.250  0.750  0.750
H  0.750  0.250  0.250
H  0.750  0.250  0.750
H  0.750  0.750  0.250
H  0.750  0.750  0.750
Os  0.000  0.000  0.000
Os  0.000  0.500  0.500
Os  0.500  0.000  0.500
Os  0.500  0.500  0.000
Pb  0.000  0.000  0.500
Pb  0.000  0.500  0.000
Pb  0.500  0.000  0.000
Pb  0.500  0.500  0.500

Space group ... No. 225
Total magnetic moment ... 0.00 μB per cell
Total DFT energy (no corrections) ... -4.0131 eV/atom